Computed, not measured: crystalline PrPaIn at its relaxed geometry at the GGA-PBE level of DFT.

Values from the calculation:
Energy of formation   161 meV per atom
Density of states at the Fermi level   6.03 states/eV per cell
Polymorph energy (0 for the lowest one)   0 meV per atom
Magnetization   1.98 μB/cell

a = 5.488 Å, b = 5.488 Å, c = 3.230 Å
α = 90.00°, β = 90.00°, γ = 120.00°
Fractional coordinates of all 3 atoms:
Pr 0.000 0.000 0.000
Pa 0.333 0.667 0.595
In 0.667 0.333 0.282

***

Computed, not measured: crystalline TaGaNiPd at its relaxed geometry at the GGA-PBE level of DFT.

Values from the calculation:
Energy of formation   -311 meV per atom
Density of states at the Fermi level   12.37 states/eV per cell
Magnetization   0.00 μB/cell

a = 6.185 Å, b = 6.185 Å, c = 6.185 Å
α = 90.00°, β = 90.00°, γ = 90.00°
Fractional coordinates of all 16 atoms:
Ta 0.000 0.000 0.000
Ta 0.000 0.500 0.500
Ta 0.500 0.000 0.500
Ta 0.500 0.500 0.000
Ga 0.000 0.000 0.500
Ga 0.000 0.500 0.000
Ga 0.500 0.000 0.000
Ga 0.500 0.500 0.500
Ni 0.250 0.250 0.250
Ni 0.250 0.750 0.750
Ni 0.750 0.250 0.750
Ni 0.750 0.750 0.250
Pd 0.250 0.250 0.750
Pd 0.250 0.750 0.250
Pd 0.750 0.250 0.250
Pd 0.750 0.750 0.750

***

Computed, not measured: crystalline SrLa3Ru at its relaxed geometry at the GGA-PBE level of DFT.

Values from the calculation:
Energy of formation   -143 meV per atom
Density of states at the Fermi level   5.98 states/eV per cell
Polymorph energy (0 for the lowest one)   36 meV per atom
Magnetization   0.00 μB/cell

a = 7.803 Å, b = 7.803 Å, c = 7.803 Å
α = 112.74°, β = 111.90°, γ = 103.91°
Fractional coordinates of all 10 atoms:
Sr 0.037 0.250 0.287
Sr 0.963 0.750 0.713
La 0.383 0.161 0.723
La 0.438 0.661 0.277
La 0.495 0.162 0.260
La 0.495 0.735 0.833
La 0.902 0.235 0.740
La 0.902 0.662 0.167
Ru 0.609 0.428 0.680
Ru 0.748 0.928 0.320

***

Computed, not measured: crystalline SrSc2Ni at its relaxed geometry at the GGA-PBE level of DFT.

Values from the calculation:
Energy of formation   361 meV per atom
Density of states at the Fermi level   13.28 states/eV per cell
Polymorph energy (0 for the lowest one)   403 meV per atom
Magnetization   0.00 μB/cell

a = 7.097 Å, b = 7.097 Å, c = 7.097 Å
α = 90.00°, β = 90.00°, γ = 90.00°
Fractional coordinates of all 16 atoms:
Sr 0.000 0.000 0.000
Sr 0.000 0.500 0.500
Sr 0.500 0.000 0.500
Sr 0.500 0.500 0.000
Sc 0.250 0.250 0.250
Sc 0.250 0.250 0.750
Sc 0.250 0.750 0.250
Sc 0.250 0.750 0.750
Sc 0.750 0.250 0.250
Sc 0.750 0.250 0.750
Sc 0.750 0.750 0.250
Sc 0.750 0.750 0.750
Ni 0.000 0.000 0.500
Ni 0.000 0.500 0.000
Ni 0.500 0.000 0.000
Ni 0.500 0.500 0.500

***

Computed, not measured: crystalline Na2AcSmO4 at its relaxed geometry at the GGA-PBE level of DFT.

Values from the calculation:
Density of states at the Fermi level   0.00 states/eV per cell
E_form (uncorrected)   -2.580 eV per atom
Magnetization   0.00 μB/cell

a = 6.061 Å, b = 3.663 Å, c = 6.392 Å
α = 90.00°, β = 110.91°, γ = 90.00°
Fractional coordinates of all 8 atoms:
Na 0.000 0.000 0.000
Na 0.000 0.500 0.500
Ac 0.500 0.000 0.500
Sm 0.500 0.500 0.000
O 0.282 0.500 0.244
O 0.284 0.000 0.772
O 0.716 0.000 0.228
O 0.718 0.500 0.756

***

Computed, not measured: crystalline CaPSe2 at its relaxed geometry at the GGA-PBE level of DFT.

Values from the calculation:
Density of states at the Fermi level   17.12 states/eV per cell
E_form (uncorrected)   -0.059 eV per atom
Magnetization   0.00 μB/cell

a = 7.065 Å, b = 7.065 Å, c = 7.065 Å
α = 90.00°, β = 90.00°, γ = 90.00°
Fractional coordinates of all 16 atoms:
Ca 0.000 0.000 0.000
Ca 0.000 0.500 0.500
Ca 0.500 0.000 0.500
Ca 0.500 0.500 0.000
P 0.250 0.250 0.250
P 0.250 0.750 0.750
P 0.750 0.250 0.750
P 0.750 0.750 0.250
Se 0.000 0.000 0.500
Se 0.000 0.500 0.000
Se 0.250 0.250 0.750
Se 0.250 0.750 0.250
Se 0.500 0.000 0.000
Se 0.500 0.500 0.500
Se 0.750 0.250 0.250
Se 0.750 0.750 0.750

***

Computed, not measured: crystalline NaCd12 at its relaxed geometry at the GGA-PBE level of DFT.

Values from the calculation:
Energy of formation   -10 meV per atom
Density of states at the Fermi level   4.87 states/eV per cell
Polymorph energy (0 for the lowest one)   0 meV per atom
Magnetization   0.00 μB/cell

a = 7.790 Å, b = 7.790 Å, c = 7.790 Å
α = 98.46°, β = 98.46°, γ = 134.90°
Fractional coordinates of all 13 atoms:
Na 0.000 0.000 0.000
Cd 0.000 0.000 0.500
Cd 0.000 0.352 0.352
Cd 0.000 0.500 0.000
Cd 0.000 0.648 0.648
Cd 0.287 0.500 0.787
Cd 0.352 0.000 0.352
Cd 0.500 0.000 0.000
Cd 0.500 0.287 0.787
Cd 0.500 0.500 0.500
Cd 0.500 0.713 0.213
Cd 0.648 0.000 0.648
Cd 0.713 0.500 0.213

***

Computed, not measured: crystalline VZn4Ni5 at its relaxed geometry at the GGA-PBE level of DFT.

Values from the calculation:
Energy of formation   -229 meV per atom
Density of states at the Fermi level   4.46 states/eV per cell
Magnetization   0.00 μB/cell

a = 2.671 Å, b = 2.671 Å, c = 16.912 Å
α = 90.00°, β = 90.00°, γ = 90.00°
Fractional coordinates of all 10 atoms:
V 0.000 0.000 0.000
Zn 0.000 0.000 0.203
Zn 0.000 0.000 0.401
Zn 0.000 0.000 0.599
Zn 0.000 0.000 0.797
Ni 0.500 0.500 0.101
Ni 0.500 0.500 0.302
Ni 0.500 0.500 0.500
Ni 0.500 0.500 0.698
Ni 0.500 0.500 0.899